Density functional theory data (PBE) for crystalline Ac4NdSe7 at its relaxed geometry.

The final energy is -5.77 eV per atom.

It has space group Cm (No. 8), with a = 14.567 Å, b = 4.317 Å, c = 12.858 Å, α = 90.00°, β = 105.29° and γ = 90.00°. The distinct sites, in fractional coordinates, are Ac at (0.000, 0.000, 0.000), Ac at (0.089, 0.500, 0.377), Ac at (0.193, 0.000, 0.767), Ac at (0.390, 0.500, 0.568), Nd at (0.276, 0.500, 0.149), Se at (0.051, 0.500, 0.622), Se at (0.130, 0.500, 0.929), Se at (0.158, 0.000, 0.221), Se at (0.229, 0.000, 0.522), Se at (0.348, 0.500, 0.787), Se at (0.379, 0.000, 0.070) and Se at (0.430, 0.500, 0.347).

***

Density functional theory data (PBE) for crystalline AcTb4ErS8 at its relaxed geometry.

The final energy is -6.23 eV per atom.

It has space group R3m (No. 160, hexagonal axes), with a = 8.1926 Å, b = 8.1926 Å, c = 19.9823 Å, α = 90.00°, β = 90.00° and γ = 120.00°. The distinct sites, in fractional coordinates, are Ac at (0.0000, 0.0000, 0.0000), Tb at (0.0000, 0.0000, 0.7511), Tb at (0.1696, 0.3393, 0.2080), Er at (0.0000, 0.0000, 0.3771), S at (0.0000, 0.0000, 0.1402), S at (0.0000, 0.0000, 0.6196), S at (0.0205, 0.5102, 0.1260) and S at (0.1876, 0.3753, 0.9547).

***

Density functional theory data (PBE) for crystalline NaY2Hg at its relaxed geometry.

The energy relative to the elements comes out at 0.57 eV per formula unit.

It has space group I-42d (No. 122), with a = 8.656 Å, b = 8.656 Å, c = 6.544 Å, α = 90.00°, β = 90.00° and γ = 90.00°. The distinct sites, in fractional coordinates, are Na at (0.000, 0.000, 0.000), Y at (0.216, 0.750, 0.625) and Hg at (0.000, 0.000, 0.500).

***

Density functional theory data (PBE) for crystalline AgSb2Br at its relaxed geometry.

The calculation puts the excess energy over the best structure of this formula in the dataset at 0.1480 eV per atom.

It has space group Pm (No. 6), with a = 3.367 Å, b = 6.186 Å, c = 5.580 Å, α = 90.00°, β = 107.40° and γ = 90.00°. The distinct sites, in fractional coordinates, are Ag at (0.000, 0.000, 0.000), Sb at (0.720, 0.500, 0.440), Sb at (0.722, 0.000, 0.448) and Br at (0.973, 0.500, 0.940).

***

Density functional theory data (PBE) for crystalline DyY2Cd at its relaxed geometry.

The calculation puts the excess energy over the best structure of this formula in the dataset at 0.0765 eV per atom. The energy relative to the elements comes out at -0.32 eV per formula unit.

It has space group R-3m (No. 166, hexagonal axes), with a = 3.5854 Å, b = 3.5854 Å, c = 32.3626 Å, α = 90.00°, β = 90.00° and γ = 120.00°. The distinct sites, in fractional coordinates, are Dy at (0.0000, 0.0000, 0.0000), Y at (0.0000, 0.0000, 0.2443) and Cd at (0.0000, 0.0000, 0.5000).

***

Density functional theory data (PBE) for crystalline Ba2Bi4Pd3Pt at its relaxed geometry.

The energy relative to the elements comes out at -6.23 eV per formula unit.

It has space group P-4m2 (No. 115), with a = 4.969 Å, b = 4.969 Å, c = 11.014 Å, α = 90.00°, β = 90.00° and γ = 90.00°. The distinct sites, in fractional coordinates, are Ba at (0.000, 0.500, 0.238), Bi at (0.000, 0.000, 0.500), Bi at (0.000, 0.500, 0.878), Bi at (0.500, 0.500, 0.500), Pd at (0.000, 0.000, 0.000), Pd at (0.000, 0.500, 0.625) and Pt at (0.500, 0.500, 0.000).

***

Density functional theory data (PBE) for crystalline Tb4Zn3Ru at its relaxed geometry.

The energy relative to the elements comes out at -2.86 eV per formula unit.

It has space group P4/mmm (No. 123), with a = 3.522 Å, b = 3.522 Å, c = 14.366 Å, α = 90.00°, β = 90.00° and γ = 90.00°. The distinct sites, in fractional coordinates, are Tb at (0.000, 0.000, 0.115), Tb at (0.000, 0.000, 0.373), Zn at (0.500, 0.500, 0.248), Zn at (0.500, 0.500, 0.500) and Ru at (0.500, 0.500, 0.000).

***

Density functional theory data (PBE) for crystalline TlCdRu3 at its relaxed geometry.

The calculation puts the excess energy over the best structure of this formula in the dataset at 0.0000 eV per atom. The energy relative to the elements comes out at 10.04 eV per formula unit.

It has space group Pm-3m (No. 221), with a = 4.915 Å, b = 4.915 Å, c = 4.915 Å, α = 90.00°, β = 90.00° and γ = 90.00°. The distinct sites, in fractional coordinates, are Tl at (0.000, 0.000, 0.000), Cd at (0.500, 0.500, 0.500) and Ru at (0.000, 0.500, 0.500).